The following is a DFT calculation (PBE-GGA) of a relaxed Sm3Er4Tm crystal.

Structure (CIF):
```
data_Sm3Er4Tm
_cell_length_a 11.279
_cell_length_b 7.260
_cell_length_c 6.265
_cell_angle_alpha 90.00
_cell_angle_beta 90.00
_cell_angle_gamma 90.00
_symmetry_space_group_name_H-M 'P m n 21'
_symmetry_Int_Tables_number 31
loop_
_symmetry_equiv_pos_as_xyz
'x,y,z'
'-x+1/2,-y,z+1/2'
'-x,y,z'
'x+1/2,-y,z+1/2'
loop_
_atom_site_label
_atom_site_type_symbol
_atom_site_fract_x
_atom_site_fract_y
_atom_site_fract_z
Sm1 Sm 0.000 0.127 0.000
Sm2 Sm 0.250 0.126 0.334
Er1 Er 0.000 0.377 0.501
Er2 Er 0.000 0.622 0.000
Er3 Er 0.248 0.623 0.334
Tm1 Tm 0.000 0.871 0.499
```

polymorph energy (0 for the lowest one)	0	meV/atom
electronic total energy	-4.5971	eV/atom

The following is a DFT calculation (PBE-GGA) of a relaxed Ta5Re crystal.

Structure (CIF):
```
data_Ta5Re
_cell_length_a 4.9462
_cell_length_b 4.9462
_cell_length_c 5.1087
_cell_angle_alpha 90.00
_cell_angle_beta 90.00
_cell_angle_gamma 120.00
_symmetry_space_group_name_H-M 'P -6 2 m'
_symmetry_Int_Tables_number 189
_symmetry_space_group_name_Hall 'P -6 -2'
loop_
_atom_site_label
_atom_site_type_symbol
_atom_site_fract_x
_atom_site_fract_y
_atom_site_fract_z
Ta1 Ta 0.0000 0.6693 0.0000
Ta2 Ta 0.3333 0.6667 0.5000
Re1 Re 0.0000 0.0000 0.5000
```

polymorph energy (0 for the lowest one)	410	meV/atom
electronic total energy	-11.7075	eV/atom

The following is a DFT calculation (PBE-GGA) of a relaxed TeIrAu2 crystal.

Structure (CIF):
```
data_TeIrAu2
_cell_length_a 5.523
_cell_length_b 5.560
_cell_length_c 10.238
_cell_angle_alpha 90.00
_cell_angle_beta 90.00
_cell_angle_gamma 90.00
_symmetry_space_group_name_H-M 'F m m m'
_symmetry_Int_Tables_number 69
_symmetry_space_group_name_Hall '-F 2 2'
loop_
_atom_site_label
_atom_site_type_symbol
_atom_site_fract_x
_atom_site_fract_y
_atom_site_fract_z
Te1 Te 0.000 0.000 0.000
Ir1 Ir 0.000 0.000 0.500
Au1 Au 0.000 0.250 0.250
```

electronic total energy	-4.3168	eV/atom
uncorrected formation energy	124	kJ/mol of formula units

The following is a DFT calculation (PBE-GGA) of a relaxed CoTcSb2 crystal.

Structure (CIF):
```
data_CoTcSb2
_cell_length_a 8.168
_cell_length_b 3.275
_cell_length_c 5.427
_cell_angle_alpha 90.00
_cell_angle_beta 102.53
_cell_angle_gamma 90.00
_symmetry_space_group_name_H-M 'C 1 2/m 1'
_symmetry_Int_Tables_number 12
loop_
_symmetry_equiv_pos_as_xyz
'x,y,z'
'-x,-y,-z'
'-x,y,-z'
'x,-y,z'
'x+1/2,y+1/2,z'
'-x+1/2,-y+1/2,-z'
'-x+1/2,y+1/2,-z'
'x+1/2,-y+1/2,z'
loop_
_atom_site_label
_atom_site_type_symbol
_atom_site_fract_x
_atom_site_fract_y
_atom_site_fract_z
Co1 Co 0.000 0.000 0.000
Tc1 Tc 0.000 0.500 0.500
Sb1 Sb 0.250 0.000 0.753
```

polymorph energy (0 for the lowest one)	202	meV/atom
electronic total energy	-6.1217	eV/atom
uncorrected formation energy	119	kJ/mol of formula units

The following is a DFT calculation (PBE-GGA) of a relaxed Na2SrReH8 crystal.

Structure (CIF):
```
data_Na2SrReH8
_cell_length_a 3.218
_cell_length_b 5.825
_cell_length_c 7.026
_cell_angle_alpha 89.83
_cell_angle_beta 90.00
_cell_angle_gamma 89.43
_symmetry_space_group_name_H-M 'P -1'
_symmetry_Int_Tables_number 2
loop_
_symmetry_equiv_pos_as_xyz
'x,y,z'
'-x,-y,-z'
loop_
_atom_site_label
_atom_site_type_symbol
_atom_site_fract_x
_atom_site_fract_y
_atom_site_fract_z
Na1 Na 0.000 0.001 0.244
Sr1 Sr 0.500 0.500 0.500
Re1 Re 0.500 0.500 0.000
H1 H 0.003 0.336 0.998
H2 H 0.007 0.214 0.501
H3 H 0.498 0.710 0.818
H4 H 0.498 0.711 0.180
```

electronic total energy	-3.7184	eV/atom

The following is a DFT calculation (PBE-GGA) of a relaxed BaNdCd10 crystal.

Structure (CIF):
```
data_BaNdCd10
_cell_length_a 4.897
_cell_length_b 6.011
_cell_length_c 10.485
_cell_angle_alpha 90.00
_cell_angle_beta 90.00
_cell_angle_gamma 90.00
_symmetry_space_group_name_H-M 'P m m m'
_symmetry_Int_Tables_number 47
loop_
_symmetry_equiv_pos_as_xyz
'x,y,z'
'-x,-y,-z'
'-x,-y,z'
'x,y,-z'
'x,-y,-z'
'-x,y,z'
'-x,y,-z'
'x,-y,z'
loop_
_atom_site_label
_atom_site_type_symbol
_atom_site_fract_x
_atom_site_fract_y
_atom_site_fract_z
Ba1 Ba 0.000 0.000 0.000
Nd1 Nd 0.000 0.500 0.500
Cd1 Cd 0.000 0.000 0.341
Cd2 Cd 0.000 0.500 0.177
Cd3 Cd 0.500 0.000 0.500
Cd4 Cd 0.500 0.254 0.259
Cd5 Cd 0.500 0.500 0.000
```

electronic total energy	-1.5217	eV/atom

The following is a DFT calculation (PBE-GGA) of a relaxed HfTe2HN crystal.

Structure (CIF):
```
data_HfTe2HN
_cell_length_a 5.776
_cell_length_b 5.776
_cell_length_c 3.977
_cell_angle_alpha 90.00
_cell_angle_beta 90.00
_cell_angle_gamma 90.00
_symmetry_space_group_name_H-M 'P 4/m m m'
_symmetry_Int_Tables_number 123
_symmetry_space_group_name_Hall '-P 4 2'
loop_
_atom_site_label
_atom_site_type_symbol
_atom_site_fract_x
_atom_site_fract_y
_atom_site_fract_z
Hf1 Hf 0.000 0.000 0.000
Te1 Te 0.000 0.500 0.000
H1 H 0.500 0.500 0.500
N1 N 0.000 0.000 0.500
```

polymorph energy (0 for the lowest one)	0	meV/atom
electronic total energy	-5.0450	eV/atom

The following is a DFT calculation (PBE-GGA) of a relaxed ThGa2CuPd2 crystal.

Structure (CIF):
```
data_ThGa2CuPd2
_cell_length_a 4.508
_cell_length_b 4.508
_cell_length_c 5.642
_cell_angle_alpha 90.00
_cell_angle_beta 90.00
_cell_angle_gamma 90.00
_symmetry_space_group_name_H-M 'P 4/m m m'
_symmetry_Int_Tables_number 123
_symmetry_space_group_name_Hall '-P 4 2'
loop_
_atom_site_label
_atom_site_type_symbol
_atom_site_fract_x
_atom_site_fract_y
_atom_site_fract_z
Th1 Th 0.000 0.000 0.000
Ga1 Ga 0.000 0.500 0.500
Cu1 Cu 0.000 0.000 0.500
Pd1 Pd 0.500 0.500 0.239
```

electronic total energy	-4.9650	eV/atom

The following is a DFT calculation (PBE-GGA) of a relaxed Y4Rh2O crystal.

Structure (CIF):
```
data_Y4Rh2O
_cell_length_a 4.586
_cell_length_b 4.586
_cell_length_c 14.558
_cell_angle_alpha 90.00
_cell_angle_beta 90.00
_cell_angle_gamma 90.00
_symmetry_space_group_name_H-M 'I 4/m m m'
_symmetry_Int_Tables_number 139
_symmetry_space_group_name_Hall '-I 4 2'
loop_
_atom_site_label
_atom_site_type_symbol
_atom_site_fract_x
_atom_site_fract_y
_atom_site_fract_z
Y1 Y 0.000 0.000 0.184
Y2 Y 0.000 0.500 0.000
Rh1 Rh 0.000 0.000 0.370
O1 O 0.000 0.000 0.000
```

electronic total energy	-7.7402	eV/atom
uncorrected formation energy	-836	kJ/mol of formula units

The following is a DFT calculation (PBE-GGA) of a relaxed Pr5Nd3Er3 crystal.

Structure (CIF):
```
data_Pr5Nd3Er3
_cell_length_a 11.4543
_cell_length_b 11.4543
_cell_length_c 3.4763
_cell_angle_alpha 90.00
_cell_angle_beta 90.00
_cell_angle_gamma 120.00
_symmetry_space_group_name_H-M 'P -6 2 m'
_symmetry_Int_Tables_number 189
_symmetry_space_group_name_Hall 'P -6 -2'
loop_
_atom_site_label
_atom_site_type_symbol
_atom_site_fract_x
_atom_site_fract_y
_atom_site_fract_z
Pr1 Pr 0.0000 0.6637 0.0000
Pr2 Pr 0.3333 0.6667 0.0000
Nd1 Nd 0.0000 0.4020 0.5000
Er1 Er 0.0000 0.1584 0.0000
```

polymorph energy (0 for the lowest one)	0	meV/atom
electronic total energy	-4.4120	eV/atom

The following is a DFT calculation (PBE-GGA) of a relaxed Ce2Pu2FeGe4 crystal.

Structure (CIF):
```
data_Ce2Pu2FeGe4
_cell_length_a 6.995
_cell_length_b 6.995
_cell_length_c 8.053
_cell_angle_alpha 90.00
_cell_angle_beta 90.00
_cell_angle_gamma 90.00
_symmetry_space_group_name_H-M 'I 4/m m m'
_symmetry_Int_Tables_number 139
_symmetry_space_group_name_Hall '-I 4 2'
loop_
_atom_site_label
_atom_site_type_symbol
_atom_site_fract_x
_atom_site_fract_y
_atom_site_fract_z
Ce1 Ce 0.000 0.500 0.250
Pu1 Pu 0.000 0.000 0.185
Fe1 Fe 0.000 0.000 0.500
Ge1 Ge 0.239 0.239 0.500
```

electronic total energy	-7.9105	eV/atom

The following is a DFT calculation (PBE-GGA) of a relaxed Tm2BC2 crystal.

Structure (CIF):
```
data_Tm2BC2
_cell_length_a 3.115
_cell_length_b 13.597
_cell_length_c 6.089
_cell_angle_alpha 90.00
_cell_angle_beta 90.00
_cell_angle_gamma 90.00
_symmetry_space_group_name_H-M 'C m c 21'
_symmetry_Int_Tables_number 36
loop_
_symmetry_equiv_pos_as_xyz
'x,y,z'
'-x,-y,z+1/2'
'-x,y,z'
'x,-y,z+1/2'
'x+1/2,y+1/2,z'
'-x+1/2,-y+1/2,z+1/2'
'-x+1/2,y+1/2,z'
'x+1/2,-y+1/2,z+1/2'
loop_
_atom_site_label
_atom_site_type_symbol
_atom_site_fract_x
_atom_site_fract_y
_atom_site_fract_z
Tm1 Tm 0.000 0.032 0.000
Tm2 Tm 0.000 0.224 0.317
B1 B 0.000 0.380 0.067
C1 C 0.000 0.145 0.682
C2 C 0.000 0.417 0.818
```

electronic total energy	-7.1137	eV/atom

Going through the records in order, we get volume values of 513.0 108.2 314.3 141.7 131.7 308.6 132.7 114.6 306.1 395.0 394.0 257.9 Å³ per cell.